No. 1
A plane-wave DFT calculation with PBE was carried out for a geometry-optimized Sm2Y3TmBi6 structure. Values from VASP.

Cell and atoms, written as Quantum ESPRESSO input:
```
&SYSTEM
  ibrav = 0, nat = 12, ntyp = 4
/
ATOMIC_SPECIES
Sm 150.36 Sm.upf
Y 88.91 Y.upf
Tm 168.93 Tm.upf
Bi 208.98 Bi.upf
ATOMIC_POSITIONS crystal
Sm 0.1657 0.8343 0.0000
Sm 0.8343 0.1657 0.0000
Y 0.0000 0.0000 0.5000
Y 0.3307 0.6693 0.5000
Y 0.6693 0.3307 0.5000
Tm 0.5000 0.5000 0.0000
Bi 0.0882 0.4167 0.7490
Bi 0.2568 0.2568 0.2537
Bi 0.4167 0.0882 0.7490
Bi 0.5833 0.9118 0.2510
Bi 0.7432 0.7432 0.7463
Bi 0.9118 0.5833 0.2510
CELL_PARAMETERS angstrom
3.8978 -6.7538 0.0000
3.8978 6.7538 0.0000
-2.5994 0.0000 7.3455
```

Properties
The space-group type is No. 12. The calculation puts the size of the total moment at 0.0 μB per cell. The value obtained for the total DFT energy (no corrections) is -67.21 eV for the cell shown.



No. 2
A plane-wave DFT calculation with PBE was carried out for a geometry-optimized Cd3GeSb structure. Values from VASP.

Cell and atoms, written as Quantum ESPRESSO input:
```
&SYSTEM
  ibrav = 0, nat = 5, ntyp = 3
/
ATOMIC_SPECIES
Cd 112.41 Cd.upf
Ge 72.64 Ge.upf
Sb 121.76 Sb.upf
ATOMIC_POSITIONS crystal
Cd 0.0000 0.0000 0.5000
Cd 0.0000 0.5000 0.0000
Cd 0.5000 0.0000 0.0000
Ge 0.0000 0.0000 0.0000
Sb 0.5000 0.5000 0.5000
CELL_PARAMETERS angstrom
5.2057 0.0000 0.0000
0.0000 5.2057 0.0000
0.0000 0.0000 5.2057
```

Properties
The space-group type is No. 221. The calculation puts the size of the total moment at 0.0 μB per cell. The value obtained for the total DFT energy (no corrections) is -9.47 eV for the cell shown.



No. 3
A plane-wave DFT calculation with PBE was carried out for a geometry-optimized LiYCd2 structure. Values from VASP.

Cell and atoms, written as Quantum ESPRESSO input:
```
&SYSTEM
  ibrav = 0, nat = 4, ntyp = 3
/
ATOMIC_SPECIES
Li 6.94 Li.upf
Y 88.91 Y.upf
Cd 112.41 Cd.upf
ATOMIC_POSITIONS crystal
Li 0.0000 0.0000 0.0000
Y 0.9976 0.5000 0.4280
Cd 0.4979 0.0000 0.5381
Cd 0.4979 0.5000 0.9212
CELL_PARAMETERS angstrom
3.4576 0.0000 0.0000
0.0000 5.1583 0.0000
-0.0037 0.0000 5.3490
```

Properties
The space-group type is No. 6. The calculation puts the size of the total moment at 0.0 μB per cell. The value obtained for the total DFT energy (no corrections) is -11.17 eV for the cell shown.



No. 4
A plane-wave DFT calculation with PBE was carried out for a geometry-optimized Nd8Hg2Pt structure. Values from VASP.

Cell and atoms, written as Quantum ESPRESSO input:
```
&SYSTEM
  ibrav = 0, nat = 11, ntyp = 3
/
ATOMIC_SPECIES
Nd 144.24 Nd.upf
Hg 200.59 Hg.upf
Pt 195.08 Pt.upf
ATOMIC_POSITIONS crystal
Nd 0.0210 0.0210 0.2739
Nd 0.2035 0.2035 0.8190
Nd 0.3462 0.3462 0.5294
Nd 0.4111 0.4111 0.0545
Nd 0.5889 0.5889 0.9455
Nd 0.6538 0.6538 0.4706
Nd 0.7965 0.7965 0.1810
Nd 0.9790 0.9790 0.7261
Hg 0.1894 0.1894 0.2460
Hg 0.8106 0.8106 0.7540
Pt 0.5000 0.5000 0.5000
CELL_PARAMETERS angstrom
9.3189 -2.6311 0.0000
9.3189 2.6311 0.0000
-1.3497 0.0000 6.9078
```

Properties
The space-group type is No. 12. The calculation puts the size of the total moment at 0.0 μB per cell. The value obtained for the total DFT energy (no corrections) is -48.67 eV for the cell shown.



No. 5
A plane-wave DFT calculation with PBE was carried out for a geometry-optimized SrNd3S6 structure. Values from VASP.

Cell and atoms, written as Quantum ESPRESSO input:
```
&SYSTEM
  ibrav = 0, nat = 20, ntyp = 3
/
ATOMIC_SPECIES
Sr 87.62 Sr.upf
Nd 144.24 Nd.upf
S 32.06 S.upf
ATOMIC_POSITIONS crystal
Sr 0.0000 0.0000 0.0000
Sr 0.0000 0.5000 0.5000
Nd 0.3026 0.0871 0.7493
Nd 0.3026 0.4129 0.2493
Nd 0.5000 0.0000 0.5000
Nd 0.5000 0.5000 0.0000
Nd 0.6974 0.5871 0.7507
Nd 0.6974 0.9129 0.2507
S 0.0821 0.0871 0.2632
S 0.0821 0.4129 0.7632
S 0.2911 0.6912 0.0951
S 0.2911 0.8088 0.5951
S 0.4143 0.1968 0.0978
S 0.4143 0.3032 0.5978
S 0.5857 0.6968 0.4022
S 0.5857 0.8032 0.9022
S 0.7089 0.1912 0.4049
S 0.7089 0.3088 0.9049
S 0.9179 0.5871 0.2368
S 0.9179 0.9129 0.7368
CELL_PARAMETERS angstrom
6.9807 0.0000 0.0000
0.0000 7.3875 0.0000
-6.8711 0.0000 10.8240
```

Properties
The space-group type is No. 14. The calculation puts the size of the total moment at 1.4 μB per cell. The value obtained for the total DFT energy (no corrections) is -117.09 eV for the cell shown.



No. 6
A plane-wave DFT calculation with PBE was carried out for a geometry-optimized CsCuMo structure. Values from VASP.

Cell and atoms, written as Quantum ESPRESSO input:
```
&SYSTEM
  ibrav = 0, nat = 12, ntyp = 3
/
ATOMIC_SPECIES
Cs 132.91 Cs.upf
Cu 63.55 Cu.upf
Mo 95.94 Mo.upf
ATOMIC_POSITIONS crystal
Cs 0.0687 0.2500 0.1743
Cs 0.4313 0.7500 0.6743
Cs 0.5687 0.2500 0.3257
Cs 0.9313 0.7500 0.8257
Cu 0.2164 0.7500 0.4130
Cu 0.2836 0.2500 0.9130
Cu 0.7164 0.7500 0.0870
Cu 0.7836 0.2500 0.5870
Mo 0.0774 0.2500 0.5334
Mo 0.4226 0.7500 0.0334
Mo 0.5774 0.2500 0.9666
Mo 0.9226 0.7500 0.4666
CELL_PARAMETERS angstrom
9.1514 0.0000 0.0000
0.0000 3.4555 0.0000
0.0000 0.0000 12.0327
```

Properties
The space-group type is No. 62. The calculation puts the size of the total moment at 0.0 μB per cell. The value obtained for the total DFT energy (no corrections) is -52.36 eV for the cell shown.



No. 7
A plane-wave DFT calculation with PBE was carried out for a geometry-optimized Zr2VOs structure. Values from VASP.

Cell and atoms, written as Quantum ESPRESSO input:
```
&SYSTEM
  ibrav = 0, nat = 8, ntyp = 3
/
ATOMIC_SPECIES
Zr 91.22 Zr.upf
V 50.94 V.upf
Os 190.23 Os.upf
ATOMIC_POSITIONS crystal
Zr 0.1055 0.6250 0.9805
Zr 0.3750 0.3555 0.4805
Zr 0.6445 0.1250 0.0195
Zr 0.8750 0.8945 0.5195
V 0.2500 0.7500 0.5000
V 0.5000 0.5000 0.0000
Os 0.0000 0.0000 0.0000
Os 0.7500 0.2500 0.5000
CELL_PARAMETERS angstrom
-3.7039 3.7039 2.8412
3.7039 -3.7039 2.8412
3.7039 3.7039 -2.8412
```

Properties
The space-group type is No. 122. The calculation puts the size of the total moment at 3.4 μB per cell. The value obtained for the total DFT energy (no corrections) is -71.62 eV for the cell shown.



No. 8
A plane-wave DFT calculation with PBE was carried out for a geometry-optimized UBeZn structure. Values from VASP.

Cell and atoms, written as Quantum ESPRESSO input:
```
&SYSTEM
  ibrav = 0, nat = 6, ntyp = 3
/
ATOMIC_SPECIES
U 238.03 U.upf
Be 9.01 Be.upf
Zn 65.41 Zn.upf
ATOMIC_POSITIONS crystal
U 0.0546 0.0546 0.0000
U 0.9454 0.9454 0.0000
Be 0.3550 0.3550 0.0000
Be 0.6450 0.6450 0.0000
Zn 0.2082 0.2082 0.0000
Zn 0.7918 0.7918 0.0000
CELL_PARAMETERS angstrom
-1.3431 1.3431 11.8877
1.3431 -1.3431 11.8877
1.3431 1.3431 -11.8877
```

Properties
The space-group type is No. 139. The calculation puts the size of the total moment at 0.0 μB per cell. The value obtained for the total DFT energy (no corrections) is -31.94 eV for the cell shown.



Which value of size of the total moment does entry 8 give?
0.0 μB per cell



Which of these has the lowest total DFT energy (no corrections)?
SrNd3S6



Which of these has the highest total DFT energy (no corrections)?
Cd3GeSb